# 1
This record from Alexandria via LeMat-Bulk describes a relaxed LaTl5S4 crystal. The functional is GGA-PBE.

* space group: C2/m
* uncorrected energy: -4.1365 eV per atom

Unit cell a=4.250 b=8.542 c=10.449 alpha=120.21 beta=101.73 gamma=90.00
Element x y z (fractional)
La (0.500, 0.000, 0.000)
Tl (0.188, 0.069, 0.377)
Tl (0.157, 0.505, 0.314)
Tl (0.843, 0.495, 0.686)
Tl (0.500, 0.500, 0.000)
Tl (0.812, 0.931, 0.623)
S (0.661, 0.274, 0.322)
S (0.028, 0.811, 0.056)
S (0.339, 0.726, 0.678)
S (0.972, 0.189, 0.944)

=====

# 2
This record from Alexandria via LeMat-Bulk describes a relaxed Ni2Bi2Pd crystal. The functional is GGA-PBE.

* space group: P4/mbm
* formation energy from the elements: 86.9 kJ/mol of formula units
* energy relative to the lowest polymorph listed for this composition: 166.2 meV per atom

Unit cell a=7.594 b=7.594 c=3.306 alpha=90.00 beta=90.00 gamma=90.00
Element x y z (fractional)
Ni (0.125, 0.625, 0.500)
Ni (0.625, 0.875, 0.500)
Ni (0.875, 0.375, 0.500)
Ni (0.375, 0.125, 0.500)
Bi (0.332, 0.832, 0.000)
Bi (0.832, 0.668, 0.000)
Bi (0.668, 0.168, 0.000)
Bi (0.168, 0.332, 0.000)
Pd (0.000, 0.000, 0.000)
Pd (0.500, 0.500, 0.000)

=====

# 3
This record from Alexandria via LeMat-Bulk describes a relaxed BaZr2Sc crystal. The functional is GGA-PBE.

* space group: P4/mmm
* formation energy from the elements: 246.9 kJ/mol of formula units
* energy relative to the lowest polymorph listed for this composition: 357.7 meV per atom

Unit cell a=5.639 b=5.639 c=3.418 alpha=90.00 beta=90.00 gamma=90.00
Element x y z (fractional)
Ba (0.500, 0.000, 0.500)
Sc (0.000, 0.500, 0.500)
Zr (0.000, 0.000, 0.000)
Zr (0.500, 0.500, 0.000)